Sr3TiIn: optimized geometry, PBEsol.

Cell: 5.9331 5.9331 5.9331 Å, 90.00 90.00 90.00°
With the nearest neighbours (Å) after each atom.
Space group Pm-3m (No. 221)
Unique sites:
Sr 0.0000 0.0000 0.5000  2 Ti 2.97
Ti 0.0000 0.0000 0.0000  6 Sr 2.97
In 0.5000 0.5000 0.5000  12 Sr 4.20

size of the total moment	0.53	μB per atom
DFT total energy	-13.28	eV/f.u.
DFT formation energy	709	meV per atom
DOS at the Fermi energy	1.24	states/eV/atom

=====

SrTlIn2: optimized geometry, PBEsol.

Cell: 3.7150 3.7150 30.3266 Å, 90.00 90.00 120.00°
With the nearest neighbours (Å) after each atom.
Space group R-3m (No. 166, hexagonal axes)
Unique sites:
Sr 0.0000 0.0000 0.0000  6 In 3.43, 6 Sr 3.71
Tl 0.0000 0.0000 0.5000  6 In 3.20
In 0.0000 0.0000 0.2452  3 Tl 3.20, 3 Sr 3.43

size of the total moment	0.00	μB per atom
DFT total energy	-10.70	eV/f.u.
DFT formation energy	-67	meV per atom
DOS at the Fermi energy	0.58	states/eV/atom

=====

SrTlIn4: optimized geometry, PBEsol.

Cell: 8.7281 8.7281 8.7281 Å, 90.00 90.00 90.00°
With the nearest neighbours (Å) after each atom.
Space group F-43m (No. 216)
Unique sites:
Sr 0.0000 0.0000 0.0000  12 In 3.62, 4 Tl 3.78
Tl 0.2500 0.2500 0.7500  12 In 3.62, 4 Sr 3.78
In 0.1245 0.1245 0.3755  6 In 3.07-3.10

size of the total moment	0.00	μB per atom
DFT total energy	-17.66	eV/f.u.
DFT formation energy	-210	meV per atom
DOS at the Fermi energy	0.63	states/eV/atom

=====

SrTlIn: optimized geometry, PBEsol.

Cell: 5.0790 5.0790 3.9735 Å, 90.00 90.00 120.00°
With the nearest neighbours (Å) after each atom.
Space group P3m1 (No. 156)
Unique sites:
Sr 0.0000 0.0000 0.0000  6 Tl 3.39-3.71, 6 In 3.43-3.66
Tl 0.6667 0.3333 0.4299  3 In 2.97
In 0.3333 0.6667 0.5517  3 Tl 2.97

size of the total moment	0.00	μB per atom
DFT total energy	-8.64	eV/f.u.
DFT formation energy	-395	meV per atom
DOS at the Fermi energy	0.44	states/eV/atom

=====

SrTlIn2: optimized geometry, PBEsol.

Cell: 4.9014 4.9014 9.2891 Å, 90.00 90.00 90.00°
With the nearest neighbours (Å) after each atom.
Space group I-4m2 (No. 119)
Unique sites:
Sr 0.0000 0.0000 0.0000  4 Tl 3.38, 8 In 3.38-3.47
Tl 0.0000 0.5000 0.2500  8 In 3.38-3.47, 4 Sr 3.38
In 0.0000 0.0000 0.5000  4 Tl 3.38, 4 In 3.38, 4 Sr 3.47
In 0.0000 0.5000 0.7500  4 Sr 3.38, 4 In 3.38, 4 Tl 3.47

size of the total moment	0.00	μB per atom
DFT total energy	-11.57	eV/f.u.
DFT formation energy	-284	meV per atom
DOS at the Fermi energy	0.51	states/eV/atom

=====

SrTlIn2: optimized geometry, PBEsol.

Cell: 4.7482 4.7482 4.8710 Å, 90.00 90.00 90.00°
With the nearest neighbours (Å) after each atom.
Space group P4/mmm (No. 123)
Unique sites:
Sr 0.0000 0.0000 0.0000  4 Tl 3.36, 8 In 3.40
Tl 0.5000 0.5000 0.0000  4 Sr 3.36, 8 In 3.40
In 0.0000 0.5000 0.5000  4 In 3.36, 4 Tl 3.40, 4 Sr 3.40

size of the total moment	0.00	μB per atom
DFT total energy	-11.71	eV/f.u.
DFT formation energy	-319	meV per atom
DOS at the Fermi energy	0.56	states/eV/atom

=====

Sr2Tl2In: optimized geometry, PBEsol.

Cell: 7.9142 7.9142 5.0868 Å, 90.00 90.00 90.00°
With the nearest neighbours (Å) after each atom.
Space group P4/mbm (No. 127)
Unique sites:
Sr 0.1729 0.3271 0.0000  6 Tl 3.34-3.53
Tl 0.1339 0.6339 0.5000  1 Tl 3.00, 2 In 3.08, 2 Sr 3.34
In 0.0000 0.0000 0.5000  4 Tl 3.08

size of the total moment	0.00	μB per atom
DFT total energy	-13.71	eV/f.u.
DFT formation energy	-358	meV per atom
DOS at the Fermi energy	0.91	states/eV/atom

=====

Sr2TlIn: optimized geometry, PBEsol.

Cell: 8.0087 8.0087 8.0087 Å, 90.00 90.00 90.00°
With the nearest neighbours (Å) after each atom.
Space group Fm-3m (No. 225)
Unique sites:
Sr 0.2500 0.2500 0.2500  4 Tl 3.47, 4 In 3.47
Tl 0.0000 0.0000 0.0000  8 Sr 3.47
In 0.0000 0.0000 0.5000  8 Sr 3.47

size of the total moment	0.00	μB per atom
DFT total energy	-11.15	eV/f.u.
DFT formation energy	-464	meV per atom
DOS at the Fermi energy	0.56	states/eV/atom

=====

What is the formula in the second record? SrTlIn2

=====

Among the records above, which one has the highest DFT total energy? SrTlIn

=====

Look up the DFT total energy of the eighth one. -11.15 eV/f.u.